PBE LuHfCuPd, optimized geometry; energy above the most stable polymorph in this dataset = 261 meV per atom
1.0
-2.773 -3.619 0.806
-3.322 0.299 3.210
-4.446 0.161 -1.279
Lu Cu Hf Pd
1 1 1 1
Direct
0.500 0.500 0.500
0.750 0.750 0.750
0.250 0.250 0.250
0.000 0.000 0.000